Material: CrFe2Ni
Method: DFT, meta-GGA SCAN
State: PBEsol geometry

abc: 3.491 3.491 6.983
angles: 90.00 90.00 90.00
Space group I-4m2 (No. 119)
Unique sites:
Cr  0.000  0.000  0.000
Fe  0.000  0.000  0.500
Fe  0.000  0.500  0.250
Ni  0.000  0.500  0.750

Output
Its density of states at the Fermi level is 0.678 states/eV per atom. The formation energy is -16 meV per atom. The magnetic moment comes out at 0.700 μB/atom.